Arrangement one

! PBE Rb2BiAuI6, optimized geometry; values from VASP
! total magnetic moment = 0.0 Bohr magnetons per cell
! space group = No. 14
! crystal system = monoclinic
&SYSTEM
  ibrav = 0, nat = 20, ntyp = 4
/
ATOMIC_SPECIES
Rb 85.47 Rb.upf
Bi 208.98 Bi.upf
Au 196.97 Au.upf
I 126.90 I.upf
ATOMIC_POSITIONS angstrom
Rb -4.5848 -8.9779 -3.5482
Rb -6.9133 -9.1470 1.8633
Rb -6.9407 -3.5917 6.6047
Rb -4.6122 -3.4226 1.1932
Bi -4.0812 1.3496 1.4839
Bi -1.6816 -7.6344 0.0443
Au -2.9688 -1.3093 4.6875
Au -2.7940 -4.9755 -3.1593
I -7.7622 -7.0547 -2.9772
I -10.4185 -7.8075 2.0638
I -3.7633 -5.5149 6.0337
I -1.1071 -4.7622 0.9927
I -4.6831 -6.9617 -0.3031
I -9.6398 -11.8111 2.1366
I -6.8424 -5.6080 3.3596
I -1.8857 -0.7586 0.9199
I -9.2660 -4.2261 -0.0394
I -6.2757 -12.1580 -0.8110
I -2.2595 -8.3435 3.0959
I -5.2498 -0.4116 3.8675
CELL_PARAMETERS angstrom
-8.1623 2.6991 2.9678
-5.5880 -9.9510 -6.3186
2.2248 -5.3178 6.4073

---

Arrangement two

! PBE Rb2BiAuI6, optimized geometry; values from VASP
! total magnetic moment = 0.0 Bohr magnetons per cell
! space group = No. 225
! crystal system = cubic
&SYSTEM
  ibrav = 0, nat = 10, ntyp = 4
/
ATOMIC_SPECIES
Rb 85.47 Rb.upf
Bi 208.98 Bi.upf
Au 196.97 Au.upf
I 126.90 I.upf
ATOMIC_POSITIONS angstrom
Rb 12.8715 7.4313 5.2548
Rb 4.2905 2.4771 1.7516
Bi 0.0000 0.0000 0.0000
Au 8.5810 4.9542 3.5032
I 8.5810 2.5301 1.7890
I 6.4816 3.7421 5.2173
I 8.5810 7.3784 5.2173
I 6.4816 6.1663 1.7890
I 10.6804 3.7421 5.2173
I 10.6804 6.1663 1.7890
CELL_PARAMETERS angstrom
8.5810 0.0000 0.0000
4.2905 7.4313 0.0000
4.2905 2.4771 7.0063

---

Q: Which of them is the least stable? A: arrangement two.